LaZnAu2, optimized geometry, DFT GGA-PBE; raw total energy = -61.52 eV/cell
1.0
8.1546 0.0000 0.0000
0.0000 7.3667 0.0000
0.0000 0.0000 5.7831
La Zn Au
4 4 8
Direct
0.0468 0.2500 0.1442
0.4532 0.7500 0.6442
0.5468 0.2500 0.3558
0.9532 0.7500 0.8558
0.1117 0.7500 0.3618
0.3883 0.2500 0.8618
0.6117 0.7500 0.1382
0.8883 0.2500 0.6382
0.1829 0.0543 0.6001
0.1829 0.4457 0.6001
0.3171 0.5543 0.1001
0.3171 0.9457 0.1001
0.6829 0.0543 0.8999
0.6829 0.4457 0.8999
0.8171 0.5543 0.3999
0.8171 0.9457 0.3999



LaZnAu2, optimized geometry, DFT GGA-PBE; raw total energy = -30.76 eV/cell
1.0
4.6783 0.0000 0.0000
-2.3391 4.0515 0.0000
0.0000 0.0000 9.5269
La Zn Au
2 2 4
Direct
0.3333 0.6667 0.2500
0.6667 0.3333 0.7500
0.0000 0.0000 0.0000
0.0000 0.0000 0.5000
0.3333 0.6667 0.5822
0.3333 0.6667 0.9178
0.6667 0.3333 0.0822
0.6667 0.3333 0.4178



LaZn2Au2, optimized geometry, DFT GGA-PBE; raw total energy = -16.86 eV/cell
1.0
-2.0914 2.0914 6.0907
2.0914 -2.0914 6.0907
2.0914 2.0914 -6.0907
La Zn Au
1 2 2
Direct
0.0000 0.0000 0.0000
0.2500 0.7500 0.5000
0.7500 0.2500 0.5000
0.3846 0.3846 0.0000
0.6154 0.6154 0.0000



La2Zn15Au2, optimized geometry, DFT GGA-PBE; raw total energy = -41.28 eV/cell
1.0
4.5721 2.6397 4.4777
-4.5721 2.6397 4.4777
0.0000 -5.2795 4.4777
La Zn Au
2 15 2
Direct
0.1595 0.1595 0.1595
0.8405 0.8405 0.8405
0.0000 0.5000 0.5000
0.1505 0.1505 0.6618
0.1505 0.6618 0.1505
0.2102 0.5000 0.7898
0.2102 0.7898 0.5000
0.3382 0.8495 0.8495
0.5000 0.0000 0.5000
0.5000 0.2102 0.7898
0.5000 0.5000 0.0000
0.5000 0.7898 0.2102
0.6618 0.1505 0.1505
0.7898 0.2102 0.5000
0.7898 0.5000 0.2102
0.8495 0.3382 0.8495
0.8495 0.8495 0.3382
0.3906 0.3906 0.3906
0.6094 0.6094 0.6094



LaZn6Au6, optimized geometry, DFT GGA-PBE; raw total energy = -36.98 eV/cell
1.0
-2.6306 4.5659 4.7894
2.6306 -4.5659 4.7894
2.6306 4.5659 -4.7894
La Zn Au
1 6 6
Direct
0.0000 0.0000 0.0000
0.0000 0.0000 0.5000
0.0000 0.5000 0.0000
0.2415 0.5000 0.7415
0.5000 0.0000 0.0000
0.5000 0.5000 0.5000
0.7585 0.5000 0.2585
0.1827 0.6827 0.5000
0.3386 0.0000 0.3386
0.3440 0.3440 0.0000
0.6560 0.6560 0.0000
0.6614 0.0000 0.6614
0.8173 0.3173 0.5000



LaZnAu2, optimized geometry, DFT GGA-PBE; raw total energy = -14.55 eV/cell
1.0
4.7197 0.0000 0.0000
0.0000 4.7197 0.0000
0.0000 0.0000 4.1127
La Zn Au
1 1 2
Direct
0.0000 0.0000 0.0000
0.5000 0.5000 0.0000
0.0000 0.5000 0.5000
0.5000 0.0000 0.5000



Listing calculated volume for the structures above in their given order: 21.71 22.57 21.31 17.07 17.70 22.90 Å³ per atom.
Listing mass density for the structures above in their given order: 11.44 11.00 10.34 8.46 12.36 10.84 g/cm³.
Listing spin magnetization for the structures above in their given order: 0.00 0.00 0.00 0.00 0.00 0.00 μB/atom.